1.
An optimized crystal structure of MgSc2TiGe, computed with PBE.

Calculated values
Formation enthalpy at 0 K: 65 meV/atom
VASP energy: -26.45 eV/cell
Fermi-level density of states: 7.6 states/eV per cell

a = 5.0855 Å, b = 5.0855 Å, c = 4.8321 Å
α = 90.00°, β = 90.00°, γ = 90.00°
Last column: nearest neighbours and their distance in Å.
Atoms (fractional coordinates):
Mg1 0.0000 0.0000 0.0000  8 Sc 3.51, 4 Ti 3.60
Sc1 0.0000 0.5000 0.5000  2 Ge 2.54
Sc2 0.5000 0.0000 0.5000  2 Ge 2.54
Ti1 0.5000 0.5000 0.0000  2 Ge 2.42
Ge1 0.5000 0.5000 0.5000  2 Ti 2.42, 4 Sc 2.54

2.
An optimized crystal structure of MgGeSe2, computed with PBE.

Calculated values
VASP energy: -31.24 eV/cell
Energy relative to the elements, uncorrected: -0.61 eV/atom

a = 3.9959 Å, b = 6.7469 Å, c = 7.1928 Å
α = 76.70°, β = 88.72°, γ = 89.71°
Last column: nearest neighbours and their distance in Å.
Atoms (fractional coordinates):
Mg1 0.0000 0.0000 0.0000  6 Se 2.73-2.77
Mg2 0.4992 0.5001 0.0001  6 Se 2.74-2.84
Ge1 0.4876 0.7374 0.4339  3 Se 2.54-2.80
Ge2 0.5108 0.2632 0.5660  3 Se 2.54-2.79
Se1 0.0057 0.3889 0.7815  3 Mg 2.73-2.76, 2 Ge 2.76-2.79
Se2 0.4857 0.0973 0.2287  1 Ge 2.54, 3 Mg 2.75-2.83
Se3 0.5129 0.9030 0.7711  1 Ge 2.54, 3 Mg 2.75-2.84
Se4 0.9915 0.6113 0.2185  3 Mg 2.73-2.76, 2 Ge 2.76-2.80

3.
An optimized crystal structure of MgGeSe2, computed with PBE.

Calculated values
VASP energy: -14.22 eV/cell
Fermi-level density of states: 0.0 states/eV per cell
Energy relative to the elements, uncorrected: -0.26 eV/atom

a = 8.0505 Å, b = 8.0505 Å, c = 8.0505 Å
α = 30.69°, β = 30.69°, γ = 30.69°
Last column: nearest neighbours and their distance in Å.
Atoms (fractional coordinates):
Mg1 0.0000 0.0000 0.0000  2 Se 2.40
Ge1 0.5000 0.5000 0.5000  6 Se 2.85
Se1 0.1045 0.1045 0.1045  1 Mg 2.40
Se2 0.8955 0.8955 0.8955  1 Mg 2.40

Repeat the third record exactly.
An optimized crystal structure of MgGeSe2, computed with PBE.

Calculated values
VASP energy: -14.22 eV/cell
Fermi-level density of states: 0.0 states/eV per cell
Energy relative to the elements, uncorrected: -0.26 eV/atom

a = 8.0505 Å, b = 8.0505 Å, c = 8.0505 Å
α = 30.69°, β = 30.69°, γ = 30.69°
Last column: nearest neighbours and their distance in Å.
Atoms (fractional coordinates):
Mg1 0.0000 0.0000 0.0000  2 Se 2.40
Ge1 0.5000 0.5000 0.5000  6 Se 2.85
Se1 0.1045 0.1045 0.1045  1 Mg 2.40
Se2 0.8955 0.8955 0.8955  1 Mg 2.40

- What is the VASP energy in the second record?
  -31.24 eV/cell